Material: AgPbCl
Method: DFT, GGA-PBE
State: optimized geometry

a b c (Å): 5.137 5.137 3.316
angles (deg): 90.00 90.00 120.00
Atoms (fractional coordinates):
Pb1 0.333 0.667 0.544
Ag1 0.000 0.000 0.068
Cl1 0.667 0.333 0.387

Output
Formation energy (no corrections) = -0.3 eV/f.u.
V = 25.26 Å³ per atom

=====

Material: Ag3Pb2Cl7
Method: DFT, GGA-PBE
State: optimized geometry

a b c (Å): 7.192 7.335 13.315
angles (deg): 105.99 90.00 90.00
Atoms (fractional coordinates):
Ag1 0.727 0.745 0.000
Ag2 0.227 0.255 0.000
Ag3 0.804 0.998 0.412
Ag4 0.304 0.002 0.588
Ag5 0.804 0.587 0.588
Ag6 0.304 0.413 0.412
Pb1 0.751 0.159 0.791
Pb2 0.251 0.841 0.209
Pb3 0.251 0.633 0.791
Pb4 0.751 0.367 0.209
Cl1 0.658 0.341 0.415
Cl2 0.158 0.659 0.585
Cl3 0.158 0.073 0.415
Cl4 0.658 0.927 0.585
Cl5 0.085 0.553 0.297
Cl6 0.585 0.447 0.703
Cl7 0.585 0.744 0.297
Cl8 0.085 0.256 0.703
Cl9 0.899 0.986 0.152
Cl10 0.399 0.014 0.848
Cl11 0.901 0.398 0.000
Cl12 0.401 0.602 0.000
Cl13 0.899 0.835 0.848
Cl14 0.399 0.165 0.152

Output
Formation energy (no corrections) = -9.4 eV/f.u.
V = 28.13 Å³ per atom

=====

Material: AgPb2Cl2
Method: DFT, GGA-PBE
State: optimized geometry

a b c (Å): 4.545 4.545 7.704
angles (deg): 72.84 72.84 90.00
Atoms (fractional coordinates):
Pb1 0.386 0.386 0.228
Pb2 0.614 0.614 0.772
Ag1 0.000 0.000 0.000
Cl1 0.750 0.250 0.500
Cl2 0.250 0.750 0.500

Output
Formation energy (no corrections) = -1.1 eV/f.u.
V = 28.92 Å³ per atom

=====

> Number 2 is which compound?

Ag3Pb2Cl7

=====

> What is the V in the second record?

28.13 Å³ per atom

=====

> Number 1 is which compound?

AgPbCl

=====

> Among the records above, which one has the lowest formation energy (no corrections)?

Ag3Pb2Cl7